Mg2Ta: relaxed, PBE-GGA. Values from VASP.

Quantum ESPRESSO input file:
```
&SYSTEM
  ibrav = 0, nat = 3, ntyp = 2
/
ATOMIC_SPECIES
Mg 24.30 Mg.upf
Ta 180.95 Ta.upf
CELL_PARAMETERS angstrom
5.382 0.000 0.000
0.000 5.382 0.000
0.000 0.000 2.722
ATOMIC_POSITIONS crystal
Mg 0.000 0.500 0.000
Mg 0.500 0.000 0.000
Ta 0.000 0.000 0.500
```

Calculated values
**DOS at the Fermi energy**: 4.2 states/eV/f.u.
**E above lowest polymorph**: 484 meV/atom
**ΔE_f**: 199 kJ/mol of formula units


MgTa2: relaxed, PBE-GGA. Values from VASP.

Quantum ESPRESSO input file:
```
&SYSTEM
  ibrav = 0, nat = 3, ntyp = 2
/
ATOMIC_SPECIES
Mg 24.30 Mg.upf
Ta 180.95 Ta.upf
CELL_PARAMETERS angstrom
4.904 0.000 0.000
-2.452 4.247 0.000
0.000 0.000 2.688
ATOMIC_POSITIONS crystal
Mg 0.000 0.000 0.000
Ta 0.333 0.667 0.306
Ta 0.667 0.333 0.694
```

Calculated values
**DOS at the Fermi energy**: 2.1 states/eV/f.u.
**E above lowest polymorph**: 14 meV/atom
**ΔE_f**: 78 kJ/mol of formula units


Mass density: 4.83, 11.46 (g/cm³)